# 1
Density functional theory data (SCAN) for Sc2Cu2O5 at its PBEsol-relaxed geometry.

* ΔE_f (raw): -2.49 eV per atom
* magnetization: 2.00 μB/f.u.

CIF file:
```
data_Sc2Cu2O5
_chemical_formula_sum 'Sc8 Cu8 O20'
_cell_length_a 10.411
_cell_length_b 3.205
_cell_length_c 11.965
_cell_angle_alpha 90.00
_cell_angle_beta 90.00
_cell_angle_gamma 90.00
_symmetry_space_group_name_H-M 'P n a 21'
_symmetry_Int_Tables_number 33
loop_
_symmetry_equiv_pos_as_xyz
'x,y,z'
'-x,-y,z+1/2'
'-x+1/2,y+1/2,z+1/2'
'x+1/2,-y+1/2,z'
loop_
_atom_site_label
_atom_site_fract_x
_atom_site_fract_y
_atom_site_fract_z
Sc1 0.040 0.215 0.000
Sc2 0.210 0.216 0.330
Cu1 0.009 0.346 0.721
Cu2 0.240 0.148 0.610
O1 0.068 0.286 0.566
O2 0.080 0.724 0.363
O3 0.125 0.289 0.165
O4 0.170 0.714 0.967
O5 0.181 0.210 0.766
```

---

# 2
Density functional theory data (SCAN) for InIrRu2 at its PBEsol-relaxed geometry.

* ΔE_f: 0.3147 eV/atom
* magnetization: 0.00 μB/f.u.

CIF file:
```
data_InIrRu2
_chemical_formula_sum 'In1 Ir1 Ru2'
_cell_length_a 3.921
_cell_length_b 3.921
_cell_length_c 3.886
_cell_angle_alpha 90.00
_cell_angle_beta 90.00
_cell_angle_gamma 90.00
_symmetry_space_group_name_H-M 'P 4/m m m'
_symmetry_Int_Tables_number 123
_symmetry_space_group_name_Hall '-P 4 2'
loop_
_atom_site_label
_atom_site_fract_x
_atom_site_fract_y
_atom_site_fract_z
In1 0.000 0.000 0.000
Ir1 0.500 0.500 0.000
Ru1 0.000 0.500 0.500
```

---

# 3
Density functional theory data (SCAN) for La2TeBr at its PBEsol-relaxed geometry.

* ΔE_f (raw): -1.55 eV per atom
* magnetization: 0.00 μB/f.u.

CIF file:
```
data_La2TeBr
_chemical_formula_sum 'La2 Te1 Br1'
_cell_length_a 4.579
_cell_length_b 4.229
_cell_length_c 6.215
_cell_angle_alpha 90.00
_cell_angle_beta 90.47
_cell_angle_gamma 90.00
_symmetry_space_group_name_H-M 'P 1 2/m 1'
_symmetry_Int_Tables_number 10
loop_
_symmetry_equiv_pos_as_xyz
'x,y,z'
'-x,-y,-z'
'-x,y,-z'
'x,-y,z'
loop_
_atom_site_label
_atom_site_fract_x
_atom_site_fract_y
_atom_site_fract_z
La1 0.000 0.000 0.000
La2 0.500 0.500 0.500
Te1 0.000 0.000 0.500
Br1 0.500 0.500 0.000
```

---

# 4
Density functional theory data (SCAN) for CaCrBiO5 at its PBEsol-relaxed geometry.

* ΔE_f (raw): -2.14 eV per atom
* magnetization: 1.00 μB/f.u.

CIF file:
```
data_CaCrBiO5
_chemical_formula_sum 'Ca4 Cr4 Bi4 O20'
_cell_length_a 5.699
_cell_length_b 11.628
_cell_length_c 8.093
_cell_angle_alpha 90.00
_cell_angle_beta 109.79
_cell_angle_gamma 90.00
_symmetry_space_group_name_H-M 'P 1 21/c 1'
_symmetry_Int_Tables_number 14
loop_
_symmetry_equiv_pos_as_xyz
'x,y,z'
'-x,-y,-z'
'-x,y+1/2,-z+1/2'
'x,-y+1/2,z+1/2'
loop_
_atom_site_label
_atom_site_fract_x
_atom_site_fract_y
_atom_site_fract_z
Ca1 0.049 0.089 0.189
Cr1 0.327 0.644 0.025
Bi1 0.463 0.098 0.834
O1 0.192 0.724 0.506
O2 0.247 0.559 0.171
O3 0.260 0.577 0.828
O4 0.270 0.025 0.012
O5 0.370 0.182 0.396
```

---

# 5
Density functional theory data (SCAN) for CdCu2Tc at its PBEsol-relaxed geometry.

* ΔE_f: 0.3320 eV/atom
* magnetization: 0.59 μB/f.u.

CIF file:
```
data_CdCu2Tc
_chemical_formula_sum 'Cd2 Cu4 Tc2'
_cell_length_a 2.635
_cell_length_b 4.570
_cell_length_c 9.227
_cell_angle_alpha 90.00
_cell_angle_beta 90.00
_cell_angle_gamma 90.00
_symmetry_space_group_name_H-M 'I m m 2'
_symmetry_Int_Tables_number 44
loop_
_symmetry_equiv_pos_as_xyz
'x,y,z'
'-x,-y,z'
'-x,y,z'
'x,-y,z'
'x+1/2,y+1/2,z+1/2'
'-x+1/2,-y+1/2,z+1/2'
'-x+1/2,y+1/2,z+1/2'
'x+1/2,-y+1/2,z+1/2'
loop_
_atom_site_label
_atom_site_fract_x
_atom_site_fract_y
_atom_site_fract_z
Cd1 0.000 0.000 0.000
Cu1 0.000 0.000 0.475
Cu2 0.000 0.500 0.752
Tc1 0.000 0.500 0.222
```

---

# 6
Density functional theory data (SCAN) for Mg2Nb2CoO8 at its PBEsol-relaxed geometry.

* ΔE_f (raw): -2.62 eV per atom
* magnetization: 3.00 μB/f.u.

CIF file:
```
data_Mg2Nb2CoO8
_chemical_formula_sum 'Mg8 Nb8 Co4 O32'
_cell_length_a 18.742
_cell_length_b 5.947
_cell_length_c 5.113
_cell_angle_alpha 90.00
_cell_angle_beta 90.95
_cell_angle_gamma 90.00
_symmetry_space_group_name_H-M 'C 1 2/c 1'
_symmetry_Int_Tables_number 15
loop_
_symmetry_equiv_pos_as_xyz
'x,y,z'
'-x,-y,-z'
'-x,y,-z+1/2'
'x,-y,z+1/2'
'x+1/2,y+1/2,z'
'-x+1/2,-y+1/2,-z'
'-x+1/2,y+1/2,-z+1/2'
'x+1/2,-y+1/2,z+1/2'
loop_
_atom_site_label
_atom_site_fract_x
_atom_site_fract_y
_atom_site_fract_z
Mg1 0.229 0.141 0.253
Nb1 0.114 0.333 0.751
Co1 0.000 0.132 0.250
O1 0.057 0.123 0.921
O2 0.068 0.383 0.407
O3 0.187 0.400 0.043
O4 0.190 0.144 0.614
```

---

# 7
Density functional theory data (SCAN) for Mn2AlSe at its PBEsol-relaxed geometry.

* ΔE_f (raw): -0.04 eV per atom
* magnetization: 6.26 μB/f.u.

CIF file:
```
data_Mn2AlSe
_chemical_formula_sum 'Mn4 Al2 Se2'
_cell_length_a 8.058
_cell_length_b 2.990
_cell_length_c 4.545
_cell_angle_alpha 90.00
_cell_angle_beta 101.34
_cell_angle_gamma 90.00
_symmetry_space_group_name_H-M 'C 1 2/m 1'
_symmetry_Int_Tables_number 12
loop_
_symmetry_equiv_pos_as_xyz
'x,y,z'
'-x,-y,-z'
'-x,y,-z'
'x,-y,z'
'x+1/2,y+1/2,z'
'-x+1/2,-y+1/2,-z'
'-x+1/2,y+1/2,-z'
'x+1/2,-y+1/2,z'
loop_
_atom_site_label
_atom_site_fract_x
_atom_site_fract_y
_atom_site_fract_z
Mn1 0.248 0.000 0.244
Al1 0.000 0.000 0.500
Se1 0.000 0.500 0.000
```

---

# 8
Density functional theory data (SCAN) for TmB4Os at its PBEsol-relaxed geometry.

* ΔE_f: -0.6799 eV/atom
* magnetization: 0.00 μB/f.u.

CIF file:
```
data_TmB4Os
_chemical_formula_sum 'Tm4 B16 Os4'
_cell_length_a 5.902
_cell_length_b 11.417
_cell_length_c 3.507
_cell_angle_alpha 90.00
_cell_angle_beta 90.00
_cell_angle_gamma 90.00
_symmetry_space_group_name_H-M 'P b a m'
_symmetry_Int_Tables_number 55
loop_
_symmetry_equiv_pos_as_xyz
'x,y,z'
'-x,-y,-z'
'-x,-y,z'
'x,y,-z'
'x+1/2,-y+1/2,-z'
'-x+1/2,y+1/2,z'
'-x+1/2,y+1/2,-z'
'x+1/2,-y+1/2,z'
loop_
_atom_site_label
_atom_site_fract_x
_atom_site_fract_y
_atom_site_fract_z
Tm1 0.129 0.150 0.000
B1 0.024 0.693 0.500
B2 0.113 0.547 0.500
B3 0.135 0.970 0.500
B4 0.209 0.814 0.500
Os1 0.141 0.406 0.000
```

---

Taking the records one at a time from the top gives uncorrected energy values of -12.4962 -43.2198 -37.2756 -19.3619 -23.6362 -13.6455 -16.1287 -26.2515 eV/atom.